[1]
A relaxed TePb2Cl2 crystal, computed with GGA-PBEsol.

Calculated values
The value obtained for the energy relative to the elements, uncorrected is -0.490 eV per atom. Its crystal system is tetragonal.

a = 6.3165 Å, b = 6.3165 Å, c = 6.3165 Å
α = 129.51°, β = 129.51°, γ = 74.20°
Closest atoms and distances in Å follow each position.
Fractional positions:
Te1 0.0000 0.0000 0.0000  2 Cl 3.56, 8 Pb 3.69
Pb1 0.2500 0.7500 0.5000  4 Cl 2.89
Pb2 0.7500 0.2500 0.5000  4 Cl 2.89
Cl1 0.3531 0.3531 0.0000  4 Pb 2.89, 1 Cl 2.96
Cl2 0.6469 0.6469 0.0000  4 Pb 2.89, 1 Cl 2.96

=====

[2]
A relaxed Sr2GaCuBr crystal, computed with GGA-PBEsol.

Calculated values
The value obtained for the energy relative to the elements, uncorrected is -0.479 eV per atom. Its crystal system is tetragonal.

a = 5.9862 Å, b = 5.9862 Å, c = 4.4298 Å
α = 90.00°, β = 90.00°, γ = 90.00°
Closest atoms and distances in Å follow each position.
Fractional positions:
Sr1 0.0000 0.5000 0.0000  2 Ga 2.99
Sr2 0.5000 0.0000 0.0000  2 Ga 2.99
Ga1 0.0000 0.0000 0.0000  2 Cu 2.21
Cu1 0.0000 0.0000 0.5000  2 Ga 2.21
Br1 0.5000 0.5000 0.5000  8 Sr 3.72

=====

[3]
A relaxed W5O12F crystal, computed with GGA-PBEsol.

Calculated values
The value obtained for the energy relative to the elements, uncorrected is -2.038 eV per atom. Its crystal system is orthorhombic.

a = 17.7353 Å, b = 3.7902 Å, c = 6.2569 Å
α = 90.00°, β = 90.00°, γ = 90.00°
Closest atoms and distances in Å follow each position.
Fractional positions:
W1 0.0618 0.0000 0.1991  6 O 1.90-2.11
W2 0.1483 0.0000 0.7377  6 O 1.90-2.02
W3 0.2500 0.0000 0.2887  7 O 1.90-2.10
W4 0.3517 0.0000 0.7377  6 O 1.90-2.02
W5 0.4382 0.0000 0.1991  6 O 1.90-2.11
W6 0.5618 0.0000 0.8009  6 O 1.90-2.11
W7 0.6483 0.0000 0.2623  6 O 1.90-2.02
W8 0.7500 0.0000 0.7113  7 O 1.90-2.10
W9 0.8517 0.0000 0.2623  6 O 1.90-2.02
W10 0.9382 0.0000 0.8009  6 O 1.90-2.11
O1 0.0481 0.0000 0.8792  3 W 1.99-2.02
O2 0.0604 0.5000 0.2029  2 W 1.90
O3 0.1408 0.0000 0.4168  3 W 1.95-2.10
O4 0.1470 0.5000 0.7357  2 W 1.90
O5 0.1692 0.0000 0.0552  3 W 2.02-2.11
O6 0.2500 0.0000 0.6146  3 W 1.96-2.04
O7 0.2500 0.5000 0.2890  2 W 1.90
O8 0.3308 0.0000 0.0552  3 W 2.02-2.11
O9 0.3530 0.5000 0.7357  2 W 1.90
O10 0.3592 0.0000 0.4168  3 W 1.95-2.10
O11 0.4396 0.5000 0.2029  2 W 1.90
O12 0.4519 0.0000 0.8792  3 W 1.99-2.02
O13 0.5481 0.0000 0.1208  3 W 1.99-2.02
O14 0.5604 0.5000 0.7971  2 W 1.90
O15 0.6408 0.0000 0.5832  3 W 1.95-2.10
O16 0.6470 0.5000 0.2643  2 W 1.90
O17 0.6692 0.0000 0.9448  3 W 2.02-2.11
O18 0.7500 0.0000 0.3854  3 W 1.96-2.04
O19 0.7500 0.5000 0.7110  2 W 1.90
O20 0.8308 0.0000 0.9448  3 W 2.02-2.11
O21 0.8530 0.5000 0.2643  2 W 1.90
O22 0.8592 0.0000 0.5832  3 W 1.95-2.10
O23 0.9396 0.5000 0.7971  2 W 1.90
O24 0.9519 0.0000 0.1208  3 W 1.99-2.02
F1 0.0000 0.0000 0.5000  2 W 2.18
F2 0.5000 0.0000 0.5000  2 W 2.18

=====

[4]
A relaxed NaTi3Br crystal, computed with GGA-PBEsol.

Calculated values
The value obtained for the energy relative to the elements, uncorrected is 0.632 eV per atom. The energy above the lowest structure with this stoichiometry comes out at 0.000 eV per atom. Its crystal system is cubic.

a = 4.7258 Å, b = 4.7258 Å, c = 4.7258 Å
α = 90.00°, β = 90.00°, γ = 90.00°
Closest atoms and distances in Å follow each position.
Fractional positions:
Na1 0.0000 0.0000 0.0000  12 Ti 3.34
Ti1 0.0000 0.5000 0.5000  2 Br 2.36
Ti2 0.5000 0.0000 0.5000  2 Br 2.36
Ti3 0.5000 0.5000 0.0000  2 Br 2.36
Br1 0.5000 0.5000 0.5000  6 Ti 2.36

=====

[5]
A relaxed Tc2AsOs crystal, computed with GGA-PBEsol.

Calculated values
The value obtained for the formation energy is 0.217 eV/atom. Its crystal system is orthorhombic.

a = 2.8381 Å, b = 3.9386 Å, c = 5.0721 Å
α = 90.00°, β = 90.00°, γ = 90.00°
Closest atoms and distances in Å follow each position.
Fractional positions:
Tc1 0.0000 0.0000 0.2494  2 Tc 2.53-2.54, 4 As 2.74, 4 Os 2.74
Tc2 0.0000 0.0000 0.7506  2 Tc 2.53-2.54, 4 As 2.74, 4 Os 2.74
As1 0.5000 0.5000 0.0000  2 Os 2.54, 8 Tc 2.74, 2 As 2.84
Os1 0.5000 0.5000 0.5000  2 As 2.54, 8 Tc 2.74, 2 Os 2.84

=====

[6]
A relaxed RbErBeF6 crystal, computed with GGA-PBEsol.

Calculated values
The value obtained for the energy relative to the elements, uncorrected is -3.641 eV per atom. Its crystal system is monoclinic.

a = 6.3929 Å, b = 5.7641 Å, c = 7.1127 Å
α = 90.00°, β = 113.80°, γ = 90.00°
Closest atoms and distances in Å follow each position.
Fractional positions:
Rb1 0.0812 0.2500 0.2137  8 F 2.80-2.99
Rb2 0.9188 0.7500 0.7863  8 F 2.80-2.99
Er1 0.3928 0.2500 0.8236  8 F 2.22-2.31
Er2 0.6072 0.7500 0.1764  8 F 2.22-2.31
Be1 0.2307 0.7500 0.4630  4 F 1.54-1.56
Be2 0.7693 0.2500 0.5370  4 F 1.54-1.56
F1 0.0015 0.2500 0.7303  1 Be 1.56
F2 0.2431 0.5321 0.5967  1 Be 1.56
F3 0.2431 0.9679 0.5967  1 Be 1.56
F4 0.3229 0.5017 0.0292  2 Er 2.22-2.23, 1 F 2.46
F5 0.3229 0.9983 0.0292  2 Er 2.22-2.23, 1 F 2.46
F6 0.4282 0.7500 0.3912  1 Be 1.54
F7 0.5718 0.2500 0.6088  1 Be 1.54
F8 0.6771 0.0017 0.9708  2 Er 2.22-2.23, 1 F 2.46
F9 0.6771 0.4983 0.9708  2 Er 2.22-2.23, 1 F 2.46
F10 0.7569 0.0321 0.4033  1 Be 1.56
F11 0.7569 0.4679 0.4033  1 Be 1.56
F12 0.9985 0.7500 0.2697  1 Be 1.56

=====

[7]
A relaxed Ca4Mg3Cu2 crystal, computed with GGA-PBEsol.

Calculated values
The value obtained for the formation energy is -0.073 eV/atom. Its crystal system is monoclinic.

a = 7.7416 Å, b = 7.7416 Å, c = 8.3067 Å
α = 104.84°, β = 104.84°, γ = 30.50°
Closest atoms and distances in Å follow each position.
Fractional positions:
Ca1 0.0741 0.0741 0.2329  1 Cu 2.96, 2 Mg 3.31
Ca2 0.1997 0.1997 0.6865  3 Cu 2.91-3.04
Ca3 0.8003 0.8003 0.3135  3 Cu 2.91-3.04
Ca4 0.9259 0.9259 0.7671  1 Cu 2.96, 2 Mg 3.31
Mg1 0.3984 0.3984 0.0713  3 Cu 2.66-2.67
Mg2 0.5000 0.5000 0.5000  8 Ca 3.41-3.60, 2 Mg 3.48
Mg3 0.6016 0.6016 0.9287  3 Cu 2.66-2.67
Cu1 0.2167 0.2167 0.0440  2 Cu 2.46, 3 Mg 2.66-2.67
Cu2 0.7833 0.7833 0.9560  2 Cu 2.46, 3 Mg 2.66-2.67

=====

[8]
A relaxed NaYCd2 crystal, computed with GGA-PBEsol.

Calculated values
The value obtained for the formation energy is -0.158 eV/atom. Its crystal system is cubic.

a = 5.1292 Å, b = 5.1292 Å, c = 5.1292 Å
α = 60.00°, β = 60.00°, γ = 60.00°
Closest atoms and distances in Å follow each position.
Fractional positions:
Na1 0.0000 0.0000 0.0000  8 Cd 3.14
Y1 0.5000 0.5000 0.5000  8 Cd 3.14
Cd1 0.2500 0.2500 0.2500  4 Na 3.14, 4 Y 3.14
Cd2 0.7500 0.7500 0.7500  4 Na 3.14, 4 Y 3.14

=====

[9]
A relaxed ZnCdH2 crystal, computed with GGA-PBEsol.

Calculated values
Its crystal system is cubic. For the calculated total energy, the calculation gives -1.6884 eV/atom.

a = 3.9756 Å, b = 3.9756 Å, c = 3.9756 Å
α = 60.00°, β = 60.00°, γ = 60.00°
Closest atoms and distances in Å follow each position.
Fractional positions:
Zn1 0.0000 0.0000 0.0000  8 H 2.43
Cd1 0.5000 0.5000 0.5000  8 H 2.43
H1 0.2500 0.2500 0.2500  4 Cd 2.43, 4 Zn 2.43
H2 0.7500 0.7500 0.7500  4 Cd 2.43, 4 Zn 2.43

=====

[10]
A relaxed LiZrAu3 crystal, computed with GGA-PBEsol.

Calculated values
The value obtained for the formation energy is 0.455 eV/atom. The energy above the lowest structure with this stoichiometry comes out at 0.464 eV per atom. Its crystal system is cubic.

a = 5.1746 Å, b = 5.1746 Å, c = 5.1746 Å
α = 90.00°, β = 90.00°, γ = 90.00°
Closest atoms and distances in Å follow each position.
Fractional positions:
Li1 0.0000 0.0000 0.0000  12 Au 3.66
Zr1 0.5000 0.5000 0.5000  6 Au 2.59
Au1 0.0000 0.5000 0.5000  2 Zr 2.59
Au2 0.5000 0.0000 0.5000  2 Zr 2.59
Au3 0.5000 0.5000 0.0000  2 Zr 2.59

=====

[11]
A relaxed Te2P3O12 crystal, computed with GGA-PBEsol.

Calculated values
The value obtained for the energy relative to the elements, uncorrected is -1.662 eV per atom. Its crystal system is trigonal.

a = 9.2188 Å, b = 9.2188 Å, c = 9.2188 Å
α = 55.15°, β = 55.15°, γ = 55.15°
Closest atoms and distances in Å follow each position.
Fractional positions:
Te1 0.1411 0.1411 0.1411  6 O 2.08-2.20
Te2 0.3461 0.3461 0.3461  6 O 2.05-2.06
Te3 0.6539 0.6539 0.6539  6 O 2.05-2.06
Te4 0.8589 0.8589 0.8589  6 O 2.08-2.20
P1 0.0432 0.7495 0.4550  4 O 1.52-1.57
P2 0.2505 0.5450 0.9568  4 O 1.52-1.57
P3 0.4550 0.0432 0.7495  4 O 1.52-1.57
P4 0.5450 0.9568 0.2505  4 O 1.52-1.57
P5 0.7495 0.4550 0.0432  4 O 1.52-1.57
P6 0.9568 0.2505 0.5450  4 O 1.52-1.57
O1 0.0319 0.7884 0.6018  1 P 1.52
O2 0.1221 0.7498 0.8733  1 P 1.54
O3 0.1267 0.8779 0.2502  1 P 1.54
O4 0.1575 0.2083 0.5232  1 P 1.57
O5 0.1702 0.5368 0.4835  1 P 1.56
O6 0.2083 0.5232 0.1575  1 P 1.57
O7 0.2116 0.3982 0.9681  1 P 1.52
O8 0.2502 0.1267 0.8779  1 P 1.54
O9 0.3982 0.9681 0.2116  1 P 1.52
O10 0.4632 0.5165 0.8298  1 P 1.56
O11 0.4768 0.8425 0.7917  1 P 1.57
O12 0.4835 0.1702 0.5368  1 P 1.56
O13 0.5165 0.8298 0.4632  1 P 1.56
O14 0.5232 0.1575 0.2083  1 P 1.57
O15 0.5368 0.4835 0.1702  1 P 1.56
O16 0.6018 0.0319 0.7884  1 P 1.52
O17 0.7498 0.8733 0.1221  1 P 1.54
O18 0.7884 0.6018 0.0319  1 P 1.52
O19 0.7917 0.4768 0.8425  1 P 1.57
O20 0.8298 0.4632 0.5165  1 P 1.56
O21 0.8425 0.7917 0.4768  1 P 1.57
O22 0.8733 0.1221 0.7498  1 P 1.54
O23 0.8779 0.2502 0.1267  1 P 1.54
O24 0.9681 0.2116 0.3982  1 P 1.52

=====

[12]
A relaxed La2MgCrSn crystal, computed with GGA-PBEsol.

Calculated values
The value obtained for the formation energy is 0.521 eV/atom. Its crystal system is tetragonal.

a = 6.0305 Å, b = 6.0305 Å, c = 4.9623 Å
α = 90.00°, β = 90.00°, γ = 90.00°
Closest atoms and distances in Å follow each position.
Fractional positions:
La1 0.0000 0.5000 0.0000  2 Sn 3.02
La2 0.5000 0.0000 0.0000  2 Sn 3.02
Mg1 0.0000 0.0000 0.5000  8 La 3.90, 4 Cr 4.26
Cr1 0.5000 0.5000 0.5000  2 Sn 2.48
Sn1 0.5000 0.5000 0.0000  2 Cr 2.48

=====

[13]
A relaxed CaCu2Au crystal, computed with GGA-PBEsol.

Calculated values
The value obtained for the formation energy is -0.143 eV/atom. Its crystal system is tetragonal.

a = 3.2750 Å, b = 3.2750 Å, c = 6.3269 Å
α = 90.00°, β = 90.00°, γ = 90.00°
Closest atoms and distances in Å follow each position.
Fractional positions:
Ca1 0.0000 0.0000 0.0000  5 Cu 2.98-3.01, 4 Au 2.98, 4 Ca 3.28
Cu1 0.0000 0.0000 0.4704  4 Cu 2.55, 4 Au 2.74
Cu2 0.5000 0.5000 0.3035  1 Au 2.53, 4 Cu 2.55
Au1 0.5000 0.5000 0.7031  5 Cu 2.53-2.74

=====

[14]
A relaxed NiRh2 crystal, computed with GGA-PBEsol.

Calculated values
The value obtained for the formation energy is 0.054 eV/atom. The energy above the lowest structure with this stoichiometry comes out at 0.019 eV per atom. Its crystal system is monoclinic.

a = 4.4909 Å, b = 2.6389 Å, c = 6.3802 Å
α = 90.00°, β = 90.28°, γ = 90.00°
Closest atoms and distances in Å follow each position.
Fractional positions:
Ni1 0.0801 0.2500 0.1605  4 Ni 2.54-2.64, 8 Rh 2.57-2.65
Ni2 0.9199 0.7500 0.8395  4 Ni 2.54-2.64, 8 Rh 2.57-2.65
Rh1 0.2459 0.7500 0.4944  9 Rh 2.57-2.65, 3 Ni 2.61-2.65
Rh2 0.4153 0.2500 0.8346  5 Ni 2.57-2.62, 7 Rh 2.60-2.65
Rh3 0.5847 0.7500 0.1655  5 Ni 2.57-2.62, 7 Rh 2.60-2.65
Rh4 0.7541 0.2500 0.5056  9 Rh 2.57-2.65, 3 Ni 2.61-2.65

=====

[15]
A relaxed SrFeAs2 crystal, computed with GGA-PBEsol.

Calculated values
The value obtained for the formation energy is -0.083 eV/atom. Its crystal system is tetragonal.

a = 3.3605 Å, b = 3.3605 Å, c = 6.9876 Å
α = 90.00°, β = 90.00°, γ = 90.00°
Closest atoms and distances in Å follow each position.
Fractional positions:
Sr1 0.0000 0.0000 0.0000  5 As 3.12-3.13, 4 Sr 3.36, 4 Fe 3.49
Fe1 0.5000 0.5000 0.6350  5 As 2.40-2.44
As1 0.0000 0.0000 0.5528  4 Fe 2.44
As2 0.5000 0.5000 0.2921  1 Fe 2.40

=====

[16]
A relaxed Sc4NiSe crystal, computed with GGA-PBEsol.

Calculated values
The value obtained for the energy relative to the elements, uncorrected is 0.359 eV per atom. Its crystal system is cubic.

a = 5.5461 Å, b = 5.5461 Å, c = 5.5461 Å
α = 60.00°, β = 60.00°, γ = 60.00°
Closest atoms and distances in Å follow each position.
Fractional positions:
Sc1 0.3756 0.3756 0.3756  6 Sc 2.76-2.79
Sc2 0.3756 0.3756 0.8731  6 Sc 2.76-2.79
Sc3 0.3756 0.8731 0.3756  6 Sc 2.76-2.79
Sc4 0.8731 0.3756 0.3756  6 Sc 2.76-2.79
Ni1 0.7500 0.7500 0.7500  12 Sc 3.25, 4 Se 3.40
Se1 0.0000 0.0000 0.0000  12 Sc 3.25, 4 Ni 3.40

=====

[17]
A relaxed Pr3Er crystal, computed with GGA-PBEsol.

Calculated values
The value obtained for the formation energy is 0.006 eV/atom. The energy above the lowest structure with this stoichiometry comes out at 0.000 eV per atom. Its crystal system is cubic.

a = 5.0625 Å, b = 5.0625 Å, c = 5.0625 Å
α = 90.00°, β = 90.00°, γ = 90.00°
Closest atoms and distances in Å follow each position.
Fractional positions:
Pr1 0.0000 0.0000 0.5000  4 Er 3.58, 8 Pr 3.58
Pr2 0.0000 0.5000 0.0000  4 Er 3.58, 8 Pr 3.58
Pr3 0.5000 0.0000 0.0000  4 Er 3.58, 8 Pr 3.58
Er1 0.5000 0.5000 0.5000  12 Pr 3.58

=====

[18]
A relaxed Ca2Cu crystal, computed with GGA-PBEsol.

Calculated values
The value obtained for the formation energy is -0.005 eV/atom. Its crystal system is hexagonal.

a = 7.9160 Å, b = 7.9160 Å, c = 4.4815 Å
α = 90.00°, β = 90.00°, γ = 120.00°
Closest atoms and distances in Å follow each position.
Fractional positions:
Ca1 0.0000 0.2576 0.0000  4 Cu 2.98-3.03
Ca2 0.0000 0.5921 0.5000  5 Cu 3.23-3.28, 6 Ca 3.47-3.61
Ca3 0.2576 0.0000 0.0000  4 Cu 2.98-3.03
Ca4 0.4079 0.4079 0.5000  5 Cu 3.23-3.28, 6 Ca 3.47-3.61
Ca5 0.5921 0.0000 0.5000  5 Cu 3.23-3.28, 6 Ca 3.47-3.61
Ca6 0.7424 0.7424 0.0000  4 Cu 2.98-3.03
Cu1 0.0000 0.0000 0.5000  9 Ca 3.03-3.23
Cu2 0.3333 0.6667 0.0000  9 Ca 2.98-3.28
Cu3 0.6667 0.3333 0.0000  9 Ca 2.98-3.28

=====

[19]
A relaxed GaSiAs3 crystal, computed with GGA-PBEsol.

Calculated values
The value obtained for the energy relative to the elements, uncorrected is 0.912 eV per atom. Its crystal system is cubic.

a = 4.8015 Å, b = 4.8015 Å, c = 4.8015 Å
α = 90.00°, β = 90.00°, γ = 90.00°
Closest atoms and distances in Å follow each position.
Fractional positions:
Ga1 0.0000 0.0000 0.0000  6 As 2.40
Si1 0.5000 0.5000 0.5000  12 As 3.40
As1 0.0000 0.0000 0.5000  2 Ga 2.40
As2 0.0000 0.5000 0.0000  2 Ga 2.40
As3 0.5000 0.0000 0.0000  2 Ga 2.40

=====

[20]
A relaxed Pr2MgIrO6 crystal, computed with GGA-PBEsol.

Calculated values
The value obtained for the energy relative to the elements, uncorrected is -2.491 eV per atom. Its crystal system is monoclinic.

a = 5.4575 Å, b = 5.6945 Å, c = 9.5154 Å
α = 90.00°, β = 124.82°, γ = 90.00°
Closest atoms and distances in Å follow each position.
Fractional positions:
Pr1 0.2349 0.0595 0.2507  6 O 2.37-2.59
Pr2 0.2349 0.4405 0.7507  6 O 2.37-2.59
Pr3 0.7651 0.5595 0.2493  6 O 2.37-2.59
Pr4 0.7651 0.9405 0.7493  6 O 2.37-2.59
Mg1 0.5000 0.0000 0.0000  6 O 2.03-2.07
Mg2 0.5000 0.5000 0.5000  6 O 2.03-2.07
Ir1 0.0000 0.0000 0.5000  6 O 2.01-2.02
Ir2 0.0000 0.5000 0.0000  6 O 2.01-2.02
O1 0.1491 0.2075 0.9518  1 Ir 2.02, 1 Mg 2.07
O2 0.1491 0.2925 0.4518  1 Ir 2.02, 1 Mg 2.07
O3 0.2487 0.7036 0.9524  1 Ir 2.02, 1 Mg 2.06
O4 0.2487 0.7964 0.4524  1 Ir 2.02, 1 Mg 2.06
O5 0.3387 0.0236 0.7482  1 Ir 2.01, 1 Mg 2.03
O6 0.3387 0.4764 0.2482  1 Ir 2.01, 1 Mg 2.03
O7 0.6613 0.5236 0.7518  1 Ir 2.01, 1 Mg 2.03
O8 0.6613 0.9764 0.2518  1 Ir 2.01, 1 Mg 2.03
O9 0.7513 0.2036 0.5476  1 Ir 2.02, 1 Mg 2.06
O10 0.7513 0.2964 0.0476  1 Ir 2.02, 1 Mg 2.06
O11 0.8509 0.7075 0.5482  1 Ir 2.02, 1 Mg 2.07
O12 0.8509 0.7925 0.0482  1 Ir 2.02, 1 Mg 2.07